(1)
This record from Alexandria via LeMat-Bulk describes a relaxed UPa4Al crystal. The functional is PBE.

## Properties
Density of states at the Fermi level   29.97 states/eV/cell

Cell: 5.958 8.609 6.182 Å, 90.00 118.59 90.00°
Space group C2/m (No. 12)
One atom of each set of equivalent atoms:
U  0.000  0.000  0.000 x2
Pa  0.004  0.322  0.737 x8
Al  0.000  0.000  0.500 x2

(2)
This record from Alexandria via LeMat-Bulk describes a relaxed PaAlV4 crystal. The functional is PBE.

## Properties
Density of states at the Fermi level   38.30 states/eV/cell

Cell: 7.316 7.316 7.316 Å, 90.00 90.00 90.00°
Space group F-43m (No. 216)
One atom of each set of equivalent atoms:
Pa  0.000  0.000  0.000 x4
Al  0.250  0.250  0.250 x4
V  0.127  0.127  0.627 x16

(3)
This record from Alexandria via LeMat-Bulk describes a relaxed PaAl2V crystal. The functional is PBE.

## Properties
Density of states at the Fermi level   5.60 states/eV/cell
Excess energy over the best structure of this formula in the dataset   0.0 kJ/mol of atoms

Cell: 4.571 6.682 5.013 Å, 90.00 105.17 90.00°
Space group P2_1/m (No. 11)
One atom of each set of equivalent atoms:
Pa  0.034  0.250  0.146 x2
Al  0.420  0.056  0.729 x4
V  0.106  0.750  0.421 x2

(4)
This record from Alexandria via LeMat-Bulk describes a relaxed Pa2Al3V crystal. The functional is PBE.

## Properties
Density of states at the Fermi level   15.53 states/eV/cell

Cell: 9.242 5.319 5.557 Å, 90.00 123.69 90.00°
Space group C2/m (No. 12)
One atom of each set of equivalent atoms:
Pa  0.138  0.000  0.414 x4
Al  0.000  0.500  0.000 x2
Al  0.250  0.250  0.000 x4
V  0.000  0.500  0.500 x2

(5)
This record from Alexandria via LeMat-Bulk describes a relaxed PaAl2V crystal. The functional is PBE.

## Properties
Density of states at the Fermi level   4.94 states/eV/cell
Excess energy over the best structure of this formula in the dataset   9.2 kJ/mol of atoms

Cell: 2.819 2.819 8.798 Å, 90.00 90.00 90.00°
Space group P4/mmm (No. 123)
One atom of each set of equivalent atoms:
Pa  0.000  0.000  0.000 x1
Al  0.500  0.500  0.284 x2
V  0.000  0.000  0.500 x1

(6)
This record from Alexandria via LeMat-Bulk describes a relaxed Pa2Al8V crystal. The functional is PBE.

## Properties
Density of states at the Fermi level   11.27 states/eV/cell

Cell: 4.340 4.340 11.358 Å, 90.00 90.00 90.00°
Space group P4/mmm (No. 123)
One atom of each set of equivalent atoms:
Pa  0.000  0.000  0.191 x2
Al  0.000  0.500  0.000 x2
Al  0.000  0.500  0.376 x4
Al  0.500  0.500  0.187 x2
V  0.000  0.000  0.500 x1

(7)
This record from Alexandria via LeMat-Bulk describes a relaxed PaAl2V crystal. The functional is PBE.

## Properties
Density of states at the Fermi level   10.37 states/eV/cell
Excess energy over the best structure of this formula in the dataset   20.9 kJ/mol of atoms

Cell: 2.9473 2.9473 29.0701 Å, 90.00 90.00 120.00°
Space group R-3m (No. 166, hexagonal axes)
One atom of each set of equivalent atoms:
Pa  0.0000  0.0000  0.0000 x3
Al  0.0000  0.0000  0.2395 x6
V  0.0000  0.0000  0.5000 x3

(8)
This record from Alexandria via LeMat-Bulk describes a relaxed PaAl2W crystal. The functional is PBE.

## Properties
Density of states at the Fermi level   11.06 states/eV/cell

Cell: 2.9390 2.9390 29.6497 Å, 90.00 90.00 120.00°
Space group R-3m (No. 166, hexagonal axes)
One atom of each set of equivalent atoms:
Pa  0.0000  0.0000  0.0000 x3
Al  0.0000  0.0000  0.2410 x6
W  0.0000  0.0000  0.5000 x3

(9)
This record from Alexandria via LeMat-Bulk describes a relaxed Pa2Al8W crystal. The functional is PBE.

## Properties
Density of states at the Fermi level   12.38 states/eV/cell

Cell: 4.385 4.385 11.276 Å, 90.00 90.00 90.00°
Space group P4/mmm (No. 123)
One atom of each set of equivalent atoms:
Pa  0.000  0.000  0.192 x2
Al  0.000  0.500  0.000 x2
Al  0.000  0.500  0.377 x4
Al  0.500  0.500  0.186 x2
W  0.000  0.000  0.500 x1

(10)
This record from Alexandria via LeMat-Bulk describes a relaxed YPaAl6 crystal. The functional is PBE.

## Properties
Density of states at the Fermi level   5.47 states/eV/cell

Cell: 6.2918 6.2918 4.6077 Å, 90.00 90.00 120.00°
Space group P-6m2 (No. 187)
One atom of each set of equivalent atoms:
Y  0.0000  0.0000  0.0000 x1
Pa  0.3333  0.6667  0.5000 x1
Al  0.3726  0.1863  0.5000 x3
Al  0.5198  0.0395  0.0000 x3

(11)
This record from Alexandria via LeMat-Bulk describes a relaxed YPa2Al9 crystal. The functional is PBE.

## Properties
Density of states at the Fermi level   11.20 states/eV/cell

Cell: 4.291 4.291 12.890 Å, 90.00 90.00 90.00°
Space group P4/mmm (No. 123)
One atom of each set of equivalent atoms:
Y  0.000  0.000  0.000 x1
Pa  0.000  0.000  0.332 x2
Al  0.000  0.500  0.166 x4
Al  0.000  0.500  0.500 x2
Al  0.500  0.500  0.000 x1
Al  0.500  0.500  0.333 x2

(12)
This record from Alexandria via LeMat-Bulk describes a relaxed Y3PaAl8 crystal. The functional is PBE.

## Properties
Density of states at the Fermi level   9.36 states/eV/cell

Cell: 5.5244 5.5244 9.2056 Å, 90.00 90.00 120.00°
Space group P3m1 (No. 156)
One atom of each set of equivalent atoms:
Y  0.0000  0.0000  0.0000 x1
Y  0.0000  0.0000  0.3685 x1
Y  0.3333  0.6667  0.8608 x1
Pa  0.3333  0.6667  0.5010 x1
Al  0.0081  0.5041  0.1853 x3
Al  0.3271  0.1635  0.6815 x3
Al  0.6667  0.3333  0.4323 x1
Al  0.6667  0.3333  0.9387 x1

(13)
This record from Alexandria via LeMat-Bulk describes a relaxed Y2PaAl9 crystal. The functional is PBE.

## Properties
Density of states at the Fermi level   27.87 states/eV/cell

Cell: 5.5183 5.5183 26.4550 Å, 90.00 90.00 120.00°
Space group R-3m (No. 166, hexagonal axes)
One atom of each set of equivalent atoms:
Y  0.0000  0.0000  0.1393 x6
Pa  0.0000  0.0000  0.0000 x3
Al  0.0000  0.0000  0.3345 x6
Al  0.0000  0.0000  0.5000 x3
Al  0.0056  0.5028  0.9174 x18

(14)
This record from Alexandria via LeMat-Bulk describes a relaxed YPaAl4 crystal. The functional is PBE.

## Properties
Density of states at the Fermi level   19.55 states/eV/cell

Cell: 7.852 7.852 7.852 Å, 90.00 90.00 90.00°
Space group F-43m (No. 216)
One atom of each set of equivalent atoms:
Y  0.000  0.000  0.000 x4
Pa  0.250  0.250  0.250 x4
Al  0.124  0.124  0.624 x16

(15)
This record from Alexandria via LeMat-Bulk describes a relaxed YPaAlZn crystal. The functional is PBE.

## Properties
Density of states at the Fermi level   21.90 states/eV/cell

Cell: 7.157 7.157 7.157 Å, 90.00 90.00 90.00°
Space group F-43m (No. 216)
One atom of each set of equivalent atoms:
Y  0.000  0.000  0.000 x4
Pa  0.000  0.000  0.500 x4
Al  0.250  0.250  0.250 x4
Zn  0.250  0.250  0.750 x4

(16)
This record from Alexandria via LeMat-Bulk describes a relaxed PaAl2Zn9 crystal. The functional is PBE.

## Properties
Density of states at the Fermi level   27.22 states/eV/cell

Cell: 10.541 10.541 6.994 Å, 90.00 90.00 90.00°
Space group I4_1/amd (No. 141, origin choice 2)
One atom of each set of equivalent atoms:
Pa  0.000  0.250  0.375 x4
Al  0.000  0.000  0.000 x8
Zn  0.000  0.250  0.875 x4
Zn  0.120  0.045  0.671 x32

(17)
This record from Alexandria via LeMat-Bulk describes a relaxed PaAlZn4 crystal. The functional is PBE.

## Properties
Density of states at the Fermi level   12.49 states/eV/cell
Excess energy over the best structure of this formula in the dataset   0.0 kJ/mol of atoms

Cell: 6.748 4.344 7.488 Å, 90.00 90.00 90.00°
Space group Pmma (No. 51)
One atom of each set of equivalent atoms:
Pa  0.250  0.000  0.141 x2
Al  0.250  0.000  0.748 x2
Zn  0.000  0.000  0.500 x2
Zn  0.056  0.500  0.834 x4
Zn  0.250  0.500  0.432 x2

(18)
This record from Alexandria via LeMat-Bulk describes a relaxed Pa5Al2Zn crystal. The functional is PBE.

## Properties
Density of states at the Fermi level   28.28 states/eV/cell

Cell: 6.354 12.757 4.401 Å, 90.00 90.00 90.00°
Space group Pbam (No. 55)
One atom of each set of equivalent atoms:
Pa  0.000  0.000  0.000 x2
Pa  0.012  0.261  0.000 x4
Pa  0.244  0.874  0.500 x4
Al  0.249  0.124  0.500 x4
Zn  0.000  0.500  0.000 x2

(19)
This record from Alexandria via LeMat-Bulk describes a relaxed PaAlZn2 crystal. The functional is PBE.

## Properties
Density of states at the Fermi level   8.67 states/eV/cell
Excess energy over the best structure of this formula in the dataset   9.7 kJ/mol of atoms

Cell: 9.108 3.023 5.702 Å, 90.00 101.61 90.00°
Space group C2/m (No. 12)
One atom of each set of equivalent atoms:
Pa  0.000  0.000  0.000 x2
Al  0.000  0.500  0.500 x2
Zn  0.241  0.000  0.699 x4

(20)
This record from Alexandria via LeMat-Bulk describes a relaxed PaAl2Zn crystal. The functional is PBE.

## Properties
Density of states at the Fermi level   18.27 states/eV/cell

Cell: 5.126 10.871 5.471 Å, 90.00 90.00 90.00°
Space group Cmme (No. 67)
One atom of each set of equivalent atoms:
Pa  0.000  0.250  0.133 x4
Al  0.000  0.111  0.632 x8
Zn  0.250  0.000  0.000 x4

(21)
This record from Alexandria via LeMat-Bulk describes a relaxed PaAlZn2 crystal. The functional is PBE.

## Properties
Density of states at the Fermi level   4.02 states/eV/cell
Excess energy over the best structure of this formula in the dataset   7.7 kJ/mol of atoms

Cell: 4.299 4.299 4.282 Å, 90.00 90.00 90.00°
Space group P4/mmm (No. 123)
One atom of each set of equivalent atoms:
Pa  0.000  0.000  0.000 x1
Al  0.500  0.500  0.000 x1
Zn  0.000  0.500  0.500 x2

(22)
This record from Alexandria via LeMat-Bulk describes a relaxed PaAl2Zn2 crystal. The functional is PBE.

## Properties
Density of states at the Fermi level   10.54 states/eV/cell
Excess energy over the best structure of this formula in the dataset   0.0 kJ/mol of atoms

Cell: 4.135 4.135 10.749 Å, 90.00 90.00 90.00°
Space group I4/mmm (No. 139)
One atom of each set of equivalent atoms:
Pa  0.000  0.000  0.000 x2
Al  0.000  0.500  0.250 x4
Zn  0.000  0.000  0.389 x4

(23)
This record from Alexandria via LeMat-Bulk describes a relaxed PaAl2Zn crystal. The functional is PBE.

## Properties
Density of states at the Fermi level   3.87 states/eV/cell

Cell: 3.181 3.181 7.405 Å, 90.00 90.00 90.00°
Space group P4/mmm (No. 123)
One atom of each set of equivalent atoms:
Pa  0.000  0.000  0.000 x1
Al  0.500  0.500  0.294 x2
Zn  0.000  0.000  0.500 x1

(24)
This record from Alexandria via LeMat-Bulk describes a relaxed PaAl2Zn3 crystal. The functional is PBE.

## Properties
Density of states at the Fermi level   12.15 states/eV/cell
Excess energy over the best structure of this formula in the dataset   11.2 kJ/mol of atoms

Cell: 5.139 14.638 2.917 Å, 90.00 90.00 90.00°
Space group Cmmm (No. 65)
One atom of each set of equivalent atoms:
Pa  0.000  0.000  0.000 x2
Al  0.000  0.343  0.000 x4
Zn  0.000  0.187  0.500 x4
Zn  0.000  0.500  0.500 x2

Number 1: raw total energy -8.6670 eV per atom. Number 2: raw total energy -8.1632 eV per atom. Number 3: raw total energy -6.7467 eV per atom. Number 4: raw total energy -6.7969 eV per atom. Number 5: raw total energy -6.6514 eV per atom. Number 6: raw total energy -5.4466 eV per atom. Number 7: raw total energy -6.5298 eV per atom. Number 8: raw total energy -7.4266 eV per atom. Number 9: raw total energy -5.7541 eV per atom. Number 10: raw total energy -5.1496 eV per atom. Number 11: raw total energy -5.2390 eV per atom. Number 12: raw total energy -5.3377 eV per atom. Number 13: raw total energy -5.0041 eV per atom. Number 14: raw total energy -5.4971 eV per atom. Number 15: raw total energy -5.3403 eV per atom. Number 16: raw total energy -2.4272 eV per atom. Number 17: raw total energy -3.0373 eV per atom. Number 18: raw total energy -7.0914 eV per atom. Number 19: raw total energy -3.9371 eV per atom. Number 20: raw total energy -4.6579 eV per atom. Number 21: raw total energy -3.9576 eV per atom. Number 22: raw total energy -4.0887 eV per atom. Number 23: raw total energy -4.6328 eV per atom. Number 24: raw total energy -3.4101 eV per atom.